Compound: LiTa2P
Source: Alexandria
Functional: PBE
Structure: optimized geometry

Cell lengths 4.881, 4.881, 4.881 Å; angles 137.82, 127.24, 69.74 degrees
Fractional coordinates of all 4 atoms:
Ta1 0.987 0.987 0.000
Li1 0.250 0.750 0.500
P1 0.750 0.250 0.500
Ta2 0.513 0.513 0.000

Computed properties:
symmetry = Immm (71)
formation enthalpy at 0 K = -0.31 eV per formula unit
magnetization = 0.0 μB per formula unit
calculated total energy = -7.8356 eV/atom


Compound: SrNb3Cd
Source: Alexandria
Functional: PBE
Structure: optimized geometry

Cell lengths 4.912, 4.912, 4.912 Å; angles 90.00, 90.00, 90.00 degrees
Fractional coordinates of all 5 atoms:
Nb1 0.000 0.500 0.000
Cd1 0.500 0.500 0.500
Sr1 0.000 0.000 0.000
Nb2 0.500 0.000 0.000
Nb3 0.000 0.000 0.500

Computed properties:
symmetry = Pm-3m (221)
formation enthalpy at 0 K = 11.79 eV per formula unit
magnetization = 0.0 μB per formula unit
calculated total energy = -4.2032 eV/atom


Compound: Tb4YMg5
Source: Alexandria
Functional: PBE
Structure: optimized geometry

Cell lengths 3.800, 3.800, 18.998 Å; angles 90.00, 90.00, 90.00 degrees
Fractional coordinates of all 10 atoms:
Mg1 0.500 0.500 0.100
Y1 0.000 0.000 0.000
Mg2 0.500 0.500 0.700
Tb1 0.000 0.000 0.400
Tb2 0.000 0.000 0.200
Mg3 0.500 0.500 0.300
Mg4 0.500 0.500 0.900
Mg5 0.500 0.500 0.500
Tb3 0.000 0.000 0.800
Tb4 0.000 0.000 0.600

Computed properties:
symmetry = P4/mmm (123)
formation enthalpy at 0 K = -0.90 eV per formula unit
magnetization = 0.0 μB per formula unit
calculated total energy = -3.3854 eV/atom


Compound: Dy3ErIr3
Source: Alexandria
Functional: PBE
Structure: optimized geometry

Cell lengths 6.974, 6.974, 6.583 Å; angles 89.97, 89.97, 89.43 degrees
Fractional coordinates of all 14 atoms:
Dy1 0.249 0.751 0.000
Ir1 0.000 0.000 0.250
Er1 0.760 0.760 0.000
Dy2 0.751 0.249 0.000
Ir2 0.000 0.500 0.248
Ir3 0.500 0.000 0.752
Dy3 0.245 0.245 0.500
Dy4 0.754 0.246 0.500
Dy5 0.755 0.755 0.500
Ir4 0.000 0.000 0.750
Ir5 0.500 0.000 0.248
Dy6 0.246 0.754 0.500
Ir6 0.000 0.500 0.752
Er2 0.240 0.240 0.000

Computed properties:
symmetry = C2/m (12)
formation enthalpy at 0 K = -5.08 eV per formula unit
magnetization = 0.0 μB per formula unit
calculated total energy = -7.1479 eV/atom


Compound: SiBi2Se
Source: Alexandria
Functional: PBE
Structure: optimized geometry

Cell lengths 5.201, 5.201, 5.201 Å; angles 60.00, 60.00, 60.00 degrees
Fractional coordinates of all 4 atoms:
Bi1 0.750 0.750 0.750
Se1 0.500 0.500 0.500
Si1 0.000 0.000 0.000
Bi2 0.250 0.250 0.250

Computed properties:
symmetry = Fm-3m (225)
raw formation energy = 0.302 eV per atom
magnetization = 0.0 μB per formula unit
calculated total energy = -3.8656 eV/atom


Compound: LiAu
Source: Alexandria
Functional: PBE
Structure: optimized geometry

Cell lengths 8.192, 8.192, 4.426 Å; angles 90.00, 90.00, 90.00 degrees
Fractional coordinates of all 16 atoms:
Li1 0.726 0.000 0.500
Li2 0.274 0.000 0.500
Li3 0.774 0.500 0.000
Au1 0.673 0.673 0.500
Au2 0.327 0.327 0.500
Au3 0.827 0.827 0.000
Li4 0.226 0.500 0.000
Au4 0.327 0.673 0.500
Au5 0.827 0.173 0.000
Li5 0.000 0.726 0.500
Li6 0.000 0.274 0.500
Au6 0.173 0.173 0.000
Au7 0.673 0.327 0.500
Li7 0.500 0.774 0.000
Li8 0.500 0.226 0.000
Au8 0.173 0.827 0.000

Computed properties:
symmetry = I4/mmm (139)
formation enthalpy at 0 K = -0.86 eV per formula unit
magnetization = 0.0 μB per formula unit
calculated total energy = -3.0251 eV/atom